No. 1
The following is a GGA-PBE calculation of a geometry-optimized Na3Li2IrO6 structure, from Alexandria via LeMat-Bulk.

```
12
Lattice="5.344 -0.001 -0.001 -2.672 4.628 -0.001 -0.893 -1.546 5.290" Properties=species:S:1:pos:R:3 pbc="T T T"
Na 0.890 1.541 2.643
Na 3.478 0.046 2.643
Na -1.699 3.036 2.643
O -0.097 -0.168 4.196
O 1.610 0.001 1.092
O 1.876 3.249 1.091
O -0.804 1.395 1.092
O 2.583 1.687 4.195
O 0.170 3.080 4.195
Li -0.006 3.089 -0.001
Li 2.679 1.538 -0.001
Ir 0.000 0.000 0.000
```

**Formation energy (no corrections)**: -1.363 eV/atom
**Crystal system**: monoclinic


No. 2
The following is a GGA-PBE calculation of a geometry-optimized Na2Li3IrO6 structure, from Alexandria via LeMat-Bulk.

```
12
Lattice="-3.200 -4.176 -1.996 2.389 -0.287 5.086 -3.636 3.507 0.944" Properties=species:S:1:pos:R:3 pbc="T T T"
O -0.295 0.427 1.871
O -4.151 -1.383 2.163
O -1.831 -0.642 -0.075
O -1.474 -2.697 2.644
O -2.616 -0.315 4.109
O -2.973 1.741 1.390
Li -4.222 -1.869 -0.516
Li -2.223 -0.478 2.017
Li -0.225 0.913 4.550
Na 0.551 -1.566 2.757
Na -1.361 -2.897 0.333
Ir 0.000 0.000 0.000
```

**Formation energy (no corrections)**: -1.382 eV/atom
**Crystal system**: monoclinic


No. 3
The following is a GGA-PBE calculation of a geometry-optimized Na2LiIr2O6 structure, from Alexandria via LeMat-Bulk.

```
11
Lattice="-2.079 3.695 -2.799 -3.157 -2.510 3.090 2.451 3.324 3.951" Properties=species:S:1:pos:R:3 pbc="T T T"
Na -2.262 2.636 -1.795
Na -2.973 -1.451 2.085
O -3.127 3.077 0.427
O 0.343 1.433 3.815
O -3.510 0.872 2.519
O -0.742 1.243 1.174
O 0.726 3.637 1.723
O -2.042 3.267 3.068
Ir -1.227 3.204 1.220
Ir -1.557 1.306 3.022
Li 1.225 1.662 1.976
```

**Formation energy (no corrections)**: -1.190 eV/atom
**Crystal system**: monoclinic


No. 4
The following is a GGA-PBE calculation of a geometry-optimized NaLiIrO4 structure, from Alexandria via LeMat-Bulk.

```
7
Lattice="5.402 0.000 0.000 0.000 5.402 0.000 -2.701 -2.701 3.812" Properties=species:S:1:pos:R:3 pbc="T T T"
Li 0.000 2.701 1.906
Ir 2.701 2.701 0.000
O 0.891 1.394 3.041
O 4.095 1.810 0.771
O 1.308 3.592 0.771
O -0.891 -1.394 3.041
Na 0.000 0.000 0.000
```

**Formation energy (no corrections)**: -1.032 eV/atom
**Crystal system**: tetragonal


No. 5
The following is a GGA-PBE calculation of a geometry-optimized Na3LiIr3O8 structure, from Alexandria via LeMat-Bulk.

```
15
Lattice="-4.807 -1.378 -3.796 5.898 -0.552 -2.077 -2.214 -4.115 4.297" Properties=species:S:1:pos:R:3 pbc="T T T"
Ir -0.561 -3.023 -0.788
Ir 1.842 -2.334 1.110
Ir -3.510 -2.747 0.251
O -2.322 -4.147 -0.745
O 1.200 -1.899 -0.830
O 2.917 -3.696 0.080
O -1.787 -1.704 0.123
O 0.665 -4.342 -1.698
O -1.276 -2.608 -2.629
O -4.039 -2.349 -1.656
O 0.154 -3.437 1.054
Na 2.949 -0.276 -1.039
Na 0.546 -0.965 -2.936
Na 0.000 0.000 0.000
Li -1.107 -2.058 2.149
```

**Formation energy (no corrections)**: -1.124 eV/atom
**Crystal system**: trigonal


No. 6
The following is a GGA-PBE calculation of a geometry-optimized NaLiIrO3 structure, from Alexandria via LeMat-Bulk.

```
12
Lattice="6.057 0.000 0.000 0.000 5.242 0.000 0.000 -2.621 4.980" Properties=species:S:1:pos:R:3 pbc="T T T"
Na 4.543 0.000 2.961
Na 1.514 2.621 2.019
O 0.000 3.975 0.000
O 3.028 3.975 0.000
O 1.514 0.000 2.199
O 3.028 1.267 0.000
O 4.543 2.621 2.781
O 0.000 1.267 0.000
Li 1.514 0.000 4.085
Li 4.543 2.621 0.895
Ir 4.543 2.621 4.719
Ir 1.514 0.000 0.261
```

**Formation energy (no corrections)**: -0.999 eV/atom
**Crystal system**: orthorhombic